Compound: ZrNb2SbOs
Source: Alexandria
Functional: GGA-PBE
Structure: optimized geometry

Computed properties:
The raw total energy comes out at -37.08 eV per formula unit. The calculation puts the uncorrected formation energy at 1.39 eV per atom. The total magnetization comes out at 0.00 μB/atom.

```
ZrNb2SbOs
1.0
-4.113 -2.820 -0.084
2.412 -3.448 -2.297
1.291 -2.013 4.377
Zr Sb Nb Os
1 1 2 1
Direct
0.500 0.500 0.500
0.000 0.000 0.000
0.500 0.000 0.000
0.000 0.000 0.500
0.000 0.500 0.000
```